Record 1
Below is a relaxed structure of Hf2NiRh2, with properties calculated at the PBE level.

CIF file:
```
data_Hf2NiRh2
_chemical_formula_sum 'Hf4 Ni2 Rh4'
_space_group_name_H-M_alt 'P 1'
_space_group_IT_number 1
_cell_length_a 7.0276
_cell_length_b 7.0276
_cell_length_c 3.4681
_cell_angle_alpha 90.00
_cell_angle_beta 90.00
_cell_angle_gamma 90.00
loop_
_space_group_symop_operation_xyz
'x,y,z'
loop_
_atom_site_label
_atom_site_fract_x
_atom_site_fract_y
_atom_site_fract_z
Rh1 0.3630 0.8630 0.0000
Rh2 0.6370 0.1370 0.0000
Rh3 0.8630 0.6370 0.0000
Rh4 0.1370 0.3630 0.0000
Hf1 0.6695 0.8305 0.5000
Hf2 0.3305 0.1695 0.5000
Hf3 0.8305 0.3305 0.5000
Hf4 0.1695 0.6695 0.5000
Ni1 0.0000 0.0000 0.0000
Ni2 0.5000 0.5000 0.0000
```


Record 2
Below is a relaxed structure of Hf2NiRh, with properties calculated at the PBE level.

CIF file:
```
data_Hf2NiRh
_chemical_formula_sum 'Hf2 Ni1 Rh1'
_space_group_name_H-M_alt 'P 1'
_space_group_IT_number 1
_cell_length_a 5.7198
_cell_length_b 5.7198
_cell_length_c 5.7198
_cell_angle_alpha 60.87
_cell_angle_beta 150.23
_cell_angle_gamma 128.22
loop_
_space_group_symop_operation_xyz
'x,y,z'
loop_
_atom_site_label
_atom_site_fract_x
_atom_site_fract_y
_atom_site_fract_z
Hf1 0.0000 0.2458 0.2458
Hf2 0.0000 0.7542 0.7542
Ni1 0.0000 0.0000 0.0000
Rh1 0.0000 0.5000 0.5000
```


Record 3
Below is a relaxed structure of Hf4NiRh, with properties calculated at the PBE level.

CIF file:
```
data_Hf4NiRh
_chemical_formula_sum 'Hf4 Ni1 Rh1'
_space_group_name_H-M_alt 'P 1'
_space_group_IT_number 1
_cell_length_a 5.3037
_cell_length_b 5.3037
_cell_length_c 5.3037
_cell_angle_alpha 104.97
_cell_angle_beta 104.97
_cell_angle_gamma 118.91
loop_
_space_group_symop_operation_xyz
'x,y,z'
loop_
_atom_site_label
_atom_site_fract_x
_atom_site_fract_y
_atom_site_fract_z
Hf1 0.9145 0.4145 0.8290
Hf2 0.4145 0.5855 0.5000
Hf3 0.5855 0.0855 0.1710
Hf4 0.0855 0.9145 0.5000
Rh1 0.0000 0.0000 0.0000
Ni1 0.5000 0.5000 0.0000
```


Record 4
Below is a relaxed structure of Hf12NiRh6, with properties calculated at the PBE level.

CIF file:
```
data_Hf12NiRh6
_chemical_formula_sum 'Hf12 Ni1 Rh6'
_space_group_name_H-M_alt 'P 1'
_space_group_IT_number 1
_cell_length_a 7.6147
_cell_length_b 7.6147
_cell_length_c 7.6147
_cell_angle_alpha 99.58
_cell_angle_beta 99.58
_cell_angle_gamma 99.58
loop_
_space_group_symop_operation_xyz
'x,y,z'
loop_
_atom_site_label
_atom_site_fract_x
_atom_site_fract_y
_atom_site_fract_z
Rh1 0.1362 0.6139 0.3019
Rh2 0.8638 0.3861 0.6981
Rh3 0.3019 0.1362 0.6139
Rh4 0.3861 0.6981 0.8638
Rh5 0.6981 0.8638 0.3861
Rh6 0.6139 0.3019 0.1362
Hf1 0.9456 0.3172 0.0654
Hf2 0.9346 0.0544 0.6828
Hf3 0.5712 0.4136 0.8249
Hf4 0.6828 0.9346 0.0544
Hf5 0.0654 0.9456 0.3172
Hf6 0.5864 0.1751 0.4288
Hf7 0.4288 0.5864 0.1751
Hf8 0.1751 0.4288 0.5864
Hf9 0.4136 0.8249 0.5712
Hf10 0.3172 0.0654 0.9456
Hf11 0.8249 0.5712 0.4136
Hf12 0.0544 0.6828 0.9346
Ni1 0.0000 0.0000 0.0000
```


Record 5
Below is a relaxed structure of HfNi2Rh2, with properties calculated at the PBE level.

CIF file:
```
data_HfNi2Rh2
_chemical_formula_sum 'Hf1 Ni2 Rh2'
_space_group_name_H-M_alt 'P 1'
_space_group_IT_number 1
_cell_length_a 3.3796
_cell_length_b 3.3796
_cell_length_c 7.0148
_cell_angle_alpha 76.06
_cell_angle_beta 76.06
_cell_angle_gamma 90.00
loop_
_space_group_symop_operation_xyz
'x,y,z'
loop_
_atom_site_label
_atom_site_fract_x
_atom_site_fract_y
_atom_site_fract_z
Rh1 0.6048 0.6048 0.7904
Rh2 0.3952 0.3952 0.2096
Ni1 0.2500 0.7500 0.5000
Ni2 0.7500 0.2500 0.5000
Hf1 0.0000 0.0000 0.0000
```


Record 6
Below is a relaxed structure of Hf3NiRh, with properties calculated at the PBE level.

CIF file:
```
data_Hf3NiRh
_chemical_formula_sum 'Hf3 Ni1 Rh1'
_space_group_name_H-M_alt 'P 1'
_space_group_IT_number 1
_cell_length_a 4.7144
_cell_length_b 4.7144
_cell_length_c 4.7144
_cell_angle_alpha 90.00
_cell_angle_beta 90.00
_cell_angle_gamma 90.00
loop_
_space_group_symop_operation_xyz
'x,y,z'
loop_
_atom_site_label
_atom_site_fract_x
_atom_site_fract_y
_atom_site_fract_z
Rh1 0.5000 0.5000 0.5000
Hf1 0.5000 0.0000 0.0000
Hf2 0.0000 0.0000 0.5000
Hf3 0.0000 0.5000 0.0000
Ni1 0.0000 0.0000 0.0000
```


Record 7
Below is a relaxed structure of Hf5Ni2Rh2, with properties calculated at the PBE level.

CIF file:
```
data_Hf5Ni2Rh2
_chemical_formula_sum 'Hf10 Ni4 Rh4'
_space_group_name_H-M_alt 'P 1'
_space_group_IT_number 1
_cell_length_a 6.5131
_cell_length_b 6.4922
_cell_length_c 8.3054
_cell_angle_alpha 113.01
_cell_angle_beta 90.00
_cell_angle_gamma 90.00
loop_
_space_group_symop_operation_xyz
'x,y,z'
loop_
_atom_site_label
_atom_site_fract_x
_atom_site_fract_y
_atom_site_fract_z
Hf1 0.1838 0.1804 0.7252
Hf2 0.6838 0.3196 0.2748
Hf3 0.3162 0.6804 0.7252
Hf4 0.3162 0.9551 0.2748
Hf5 0.0000 0.0000 0.0000
Hf6 0.6838 0.0449 0.7252
Hf7 0.8162 0.5449 0.7252
Hf8 0.8162 0.8196 0.2748
Hf9 0.1838 0.4551 0.2748
Hf10 0.5000 0.5000 0.0000
Ni1 0.8723 0.3717 0.0000
Ni2 0.6277 0.8717 0.0000
Ni3 0.1277 0.6283 0.0000
Ni4 0.3723 0.1283 0.0000
Rh1 0.5000 0.2782 0.5564
Rh2 0.0000 0.2218 0.4436
Rh3 0.0000 0.7782 0.5564
Rh4 0.5000 0.7218 0.4436
```


Record 8
Below is a relaxed structure of Hf4NiRh, with properties calculated at the PBE level.

CIF file:
```
data_Hf4NiRh
_chemical_formula_sum 'Hf16 Ni4 Rh4'
_space_group_name_H-M_alt 'P 1'
_space_group_IT_number 1
_cell_length_a 8.6165
_cell_length_b 8.6165
_cell_length_c 8.6165
_cell_angle_alpha 60.00
_cell_angle_beta 60.00
_cell_angle_gamma 60.00
loop_
_space_group_symop_operation_xyz
'x,y,z'
loop_
_atom_site_label
_atom_site_fract_x
_atom_site_fract_y
_atom_site_fract_z
Ni1 0.8950 0.8950 0.8950
Ni2 0.8950 0.3149 0.8950
Ni3 0.3149 0.8950 0.8950
Ni4 0.8950 0.8950 0.3149
Rh1 0.3346 0.3346 0.9961
Rh2 0.3346 0.9961 0.3346
Rh3 0.9961 0.3346 0.3346
Rh4 0.3346 0.3346 0.3346
Hf1 0.5545 0.9455 0.9455
Hf2 0.6731 0.1090 0.1090
Hf3 0.6860 0.6860 0.3140
Hf4 0.3140 0.6860 0.6860
Hf5 0.5545 0.5545 0.9455
Hf6 0.5545 0.9455 0.5545
Hf7 0.1090 0.1090 0.6731
Hf8 0.3140 0.3140 0.6860
Hf9 0.9455 0.5545 0.9455
Hf10 0.9455 0.5545 0.5545
Hf11 0.6860 0.3140 0.6860
Hf12 0.6860 0.3140 0.3140
Hf13 0.1090 0.6731 0.1090
Hf14 0.1090 0.1090 0.1090
Hf15 0.3140 0.6860 0.3140
Hf16 0.9455 0.9455 0.5545
```


Record 9
Below is a relaxed structure of Hf3Ni2Rh, with properties calculated at the PBE level.

CIF file:
```
data_Hf3Ni2Rh
_chemical_formula_sum 'Hf3 Ni2 Rh1'
_space_group_name_H-M_alt 'P 1'
_space_group_IT_number 1
_cell_length_a 3.2136
_cell_length_b 4.4943
_cell_length_c 7.2517
_cell_angle_alpha 108.05
_cell_angle_beta 90.00
_cell_angle_gamma 90.00
loop_
_space_group_symop_operation_xyz
'x,y,z'
loop_
_atom_site_label
_atom_site_fract_x
_atom_site_fract_y
_atom_site_fract_z
Hf1 0.5000 0.8284 0.6568
Hf2 0.5000 0.5000 0.0000
Hf3 0.5000 0.1716 0.3432
Ni1 0.0000 0.3438 0.6876
Ni2 0.0000 0.6562 0.3124
Rh1 0.0000 0.0000 0.0000
```


Record 10
Below is a relaxed structure of HfNi2Rh2, with properties calculated at the PBE level.

CIF file:
```
data_HfNi2Rh2
_chemical_formula_sum 'Hf2 Ni4 Rh4'
_space_group_name_H-M_alt 'P 1'
_space_group_IT_number 1
_cell_length_a 6.5451
_cell_length_b 6.5451
_cell_length_c 3.3421
_cell_angle_alpha 90.00
_cell_angle_beta 90.00
_cell_angle_gamma 90.00
loop_
_space_group_symop_operation_xyz
'x,y,z'
loop_
_atom_site_label
_atom_site_fract_x
_atom_site_fract_y
_atom_site_fract_z
Rh1 0.1665 0.6665 0.5000
Rh2 0.8335 0.3335 0.5000
Rh3 0.3335 0.1665 0.5000
Rh4 0.6665 0.8335 0.5000
Hf1 0.5000 0.5000 0.0000
Hf2 0.0000 0.0000 0.0000
Ni1 0.1283 0.3717 0.0000
Ni2 0.8717 0.6283 0.0000
Ni3 0.3717 0.8717 0.0000
Ni4 0.6283 0.1283 0.0000
```


Record 11
Below is a relaxed structure of HfNi3Rh, with properties calculated at the PBE level.

CIF file:
```
data_HfNi3Rh
_chemical_formula_sum 'Hf1 Ni3 Rh1'
_space_group_name_H-M_alt 'P 1'
_space_group_IT_number 1
_cell_length_a 4.4389
_cell_length_b 4.4389
_cell_length_c 4.4389
_cell_angle_alpha 90.00
_cell_angle_beta 90.00
_cell_angle_gamma 90.00
loop_
_space_group_symop_operation_xyz
'x,y,z'
loop_
_atom_site_label
_atom_site_fract_x
_atom_site_fract_y
_atom_site_fract_z
Hf1 0.0000 0.0000 0.0000
Ni1 0.5000 0.0000 0.0000
Ni2 0.0000 0.5000 0.0000
Ni3 0.0000 0.0000 0.5000
Rh1 0.5000 0.5000 0.5000
```


Record 12
Below is a relaxed structure of Hf2NiRh, with properties calculated at the PBE level.

CIF file:
```
data_Hf2NiRh
_chemical_formula_sum 'Hf2 Ni1 Rh1'
_space_group_name_H-M_alt 'P 1'
_space_group_IT_number 1
_cell_length_a 3.2186
_cell_length_b 3.2186
_cell_length_c 6.4959
_cell_angle_alpha 90.00
_cell_angle_beta 90.00
_cell_angle_gamma 90.00
loop_
_space_group_symop_operation_xyz
'x,y,z'
loop_
_atom_site_label
_atom_site_fract_x
_atom_site_fract_y
_atom_site_fract_z
Ni1 0.5000 0.5000 0.0000
Hf1 0.0000 0.0000 0.7573
Hf2 0.0000 0.0000 0.2427
Rh1 0.5000 0.5000 0.5000
```


What are the magnetic moment values for these records? In order: 0.000 0.000 0.000 0.000 0.328 0.000 0.000 0.000 0.000 0.000 0.000 0.000 μB/atom.
What are the formation energy values for these records? In order: -0.56 0.30 -0.46 -0.33 -0.23 0.26 -0.57 -0.48 -0.58 -0.28 1.26 -0.65 eV per atom.